Entry from the Alexandria database: MgBeTe2 after structural relaxation (PBE).

Energy relative to the elements, uncorrected in eV per atom: -0.56
Density of states at the Fermi level in states/eV/atom: 0.00
Calculated total energy in eV per atom: -3.46
M_tot in μB per formula unit: 0.0
Relative energy among the computed polymorphs in meV per atom: 18.1
Volume in Å³/f.u.: 113.0

Cell lengths 4.237, 4.237, 6.296 Å; angles 90.00, 90.00, 90.00 degrees
Space group P-4m2 (No. 115)
Unique sites:
1 Mg 0.000 0.000 0.000 x1
2 Be 0.500 0.500 0.500 x1
3 Te 0.000 0.500 0.286 x2